Computed, not measured: a relaxed structure of KZrB2Br at the PBE level of DFT.

## Properties
The calculation puts the calculated density at 1.5 Mg/m³. The calculation puts the total energy at -4.015 eV/atom. The calculation puts the spin magnetization at 0.0000 μB/atom.

Unit cell a=4.492 b=4.492 c=13.109 alpha=90.00 beta=90.00 gamma=90.00
Fractional coordinates of all 5 atoms:
K: 0.000 0.000 0.000
Zr: 0.000 0.000 0.500
B: 0.000 0.500 0.500
B: 0.500 0.000 0.500
Br: 0.500 0.500 0.000